Entry 1:
## Sc6TeSe5 (PBE-GGA)

Data for a geometry-optimized Sc6TeSe5 structure.

a = 6.7966 Å, b = 6.7998 Å, c = 6.8070 Å
α = 80.36°, β = 60.05°, γ = 70.40°
Closest atoms and distances in Å follow each position.
Atoms (fractional coordinates):
Se1 0.1579 0.5000 0.6842  6 Sc 2.67-2.75
Se2 0.3309 0.0000 0.3381  6 Sc 2.79-2.82
Se3 0.5000 0.5000 0.0000  6 Sc 2.63-2.74
Se4 0.8421 0.5000 0.3158  6 Sc 2.67-2.75
Se5 0.6691 0.0000 0.6619  6 Sc 2.79-2.82
Sc1 0.9077 0.2739 0.6504  5 Se 2.67-2.82, 1 Te 2.96
Sc2 0.7345 0.7382 0.0000  5 Se 2.63-2.79, 1 Te 2.93
Sc3 0.0923 0.7261 0.3496  5 Se 2.67-2.82, 1 Te 2.96
Sc4 0.5580 0.2739 0.3496  5 Se 2.67-2.82, 1 Te 2.96
Sc5 0.4420 0.7261 0.6504  5 Se 2.67-2.82, 1 Te 2.96
Sc6 0.2655 0.2618 0.0000  5 Se 2.63-2.79, 1 Te 2.93
Te1 0.0000 0.0000 0.0000  6 Sc 2.93-2.96

The space-group type is C2/m (12). As for the uncorrected formation energy: -1.507 eV per atom. For the density, the calculation gives 5.1 Mg/m³.

=====

Entry 2:
## SiTe (PBE-GGA)

Data for a geometry-optimized SiTe structure.

a = 5.5164 Å, b = 5.5164 Å, c = 5.5164 Å
α = 90.00°, β = 90.00°, γ = 90.00°
Closest atoms and distances in Å follow each position.
Atoms (fractional coordinates):
Te1 0.0000 0.5000 0.0000  4 Si 2.76
Te2 0.5000 0.0000 0.0000  4 Si 2.76
Te3 0.0000 0.0000 0.5000  4 Si 2.76
Si1 0.0000 0.5000 0.5000  4 Te 2.76
Si2 0.5000 0.0000 0.5000  4 Te 2.76
Si3 0.5000 0.5000 0.0000  4 Te 2.76

The space-group type is Pm-3m (221). As for the uncorrected formation energy: 0.703 eV per atom. For the density, the calculation gives 4.6 Mg/m³.

=====

Entry 3:
## LiTa5 (PBE-GGA)

Data for a geometry-optimized LiTa5 structure.

a = 5.0718 Å, b = 5.0718 Å, c = 4.8765 Å
α = 90.00°, β = 90.00°, γ = 120.00°
Closest atoms and distances in Å follow each position.
Atoms (fractional coordinates):
Ta1 0.0000 0.6581 0.0000  10 Ta 2.89-3.00, 2 Li 2.99
Ta2 0.3419 0.3419 0.0000  10 Ta 2.89-3.00, 2 Li 2.99
Ta3 0.3333 0.6667 0.5000  9 Ta 2.93-2.95, 3 Li 2.93
Ta4 0.6581 0.0000 0.0000  10 Ta 2.89-3.00, 2 Li 2.99
Ta5 0.6667 0.3333 0.5000  9 Ta 2.93-2.95, 3 Li 2.93
Li1 0.0000 0.0000 0.5000  12 Ta 2.93-2.99

The space-group type is P-62m (189). For the final energy, the calculation gives -9.86 eV per atom. For the density, the calculation gives 13.9 Mg/m³.

=====

Entry 4:
## EuAgSe2 (PBE-GGA)

Data for a geometry-optimized EuAgSe2 structure.

a = 4.4550 Å, b = 4.4550 Å, c = 8.3238 Å
α = 74.48°, β = 74.48°, γ = 60.00°
Closest atoms and distances in Å follow each position.
Atoms (fractional coordinates):
Eu1 0.5000 0.5000 0.5000  6 Se 2.97
Ag1 0.0000 0.0000 0.0000  2 Se 2.47
Se1 0.1039 0.1039 0.6883  1 Ag 2.47
Se2 0.8961 0.8961 0.3117  1 Ag 2.47

The space-group type is R-3m (166). As for the uncorrected formation energy: -0.900 eV per atom. For the density, the calculation gives 5.1 Mg/m³.

=====

Entry 5:
## Tb3CuHg3 (PBE-GGA)

Data for a geometry-optimized Tb3CuHg3 structure.

a = 4.7656 Å, b = 3.6981 Å, c = 10.2812 Å
α = 100.36°, β = 103.40°, γ = 90.00°
Closest atoms and distances in Å follow each position.
Atoms (fractional coordinates):
Cu1 0.4294 0.4294 0.8587  3 Hg 2.58-2.77
Hg1 0.5607 0.5607 0.1215  1 Cu 2.58
Hg2 0.1511 0.6511 0.3023  2 Hg 2.97, 5 Tb 3.14-3.19
Hg3 0.8578 0.3578 0.7157  2 Cu 2.77
Tb1 0.3136 0.8136 0.6272  2 Cu 2.93, 5 Hg 3.14-3.19
Tb2 0.9926 0.9926 0.9853  6 Hg 3.23-3.30, 4 Cu 3.26
Tb3 0.6947 0.1947 0.3894  7 Hg 3.14-3.22

The space-group type is Imm2 (44). For the final energy, the calculation gives -3.06 eV per atom. For the density, the calculation gives 10.9 Mg/m³.

=====

Entry 6:
## Er4PdRu (PBE-GGA)

Data for a geometry-optimized Er4PdRu structure.

a = 9.3427 Å, b = 9.3427 Å, c = 9.3427 Å
α = 60.00°, β = 60.00°, γ = 60.00°
Closest atoms and distances in Å follow each position.
Atoms (fractional coordinates):
Er1 0.1877 0.8123 0.1877  2 Pd 3.03, 2 Er 3.37, 2 Ru 3.37
Er2 0.3965 0.3965 0.3965  3 Ru 2.82
Er3 0.1877 0.1877 0.8123  2 Pd 3.03, 2 Er 3.37, 2 Ru 3.37
Er4 0.5579 0.5579 0.9421  2 Ru 2.71
Er5 0.5579 0.9421 0.5579  2 Ru 2.71
Er6 0.9421 0.5579 0.5579  2 Ru 2.71
Er7 0.8123 0.1877 0.8123  2 Pd 3.03, 2 Er 3.37, 2 Ru 3.37
Er8 0.5579 0.9421 0.9421  2 Ru 2.71
Er9 0.8123 0.1877 0.1877  2 Pd 3.03, 2 Er 3.37, 2 Ru 3.37
Er10 0.1877 0.8123 0.8123  2 Pd 3.03, 2 Er 3.37, 2 Ru 3.37
Er11 0.9421 0.5579 0.9421  2 Ru 2.71
Er12 0.3965 0.8106 0.3965  3 Ru 2.82
Er13 0.8106 0.3965 0.3965  3 Ru 2.82
Er14 0.3965 0.3965 0.8106  3 Ru 2.82
Er15 0.8123 0.8123 0.1877  2 Pd 3.03, 2 Er 3.37, 2 Ru 3.37
Er16 0.9421 0.9421 0.5579  2 Ru 2.71
Pd1 0.5161 0.1613 0.1613  9 Er 3.03-3.34, 3 Pd 3.32
Pd2 0.1613 0.5161 0.1613  9 Er 3.03-3.34, 3 Pd 3.32
Pd3 0.1613 0.1613 0.1613  9 Er 3.03-3.34, 3 Pd 3.32
Pd4 0.1613 0.1613 0.5161  9 Er 3.03-3.34, 3 Pd 3.32
Ru1 0.6095 0.1716 0.6095  6 Er 2.71-2.82
Ru2 0.6095 0.6095 0.1716  6 Er 2.71-2.82
Ru3 0.6095 0.6095 0.6095  6 Er 2.71-2.82
Ru4 0.1716 0.6095 0.6095  6 Er 2.71-2.82

The space-group type is F-43m (216). For the final energy, the calculation gives -5.94 eV per atom. For the density, the calculation gives 10.1 Mg/m³.